--- a ---
## AlC (GGA-PBEsol)

Data for a geometry-optimized AlC structure.

- Fermi-level density of states (states/eV/cell) = 2.0
- volume (Å³/atom) = 9.58

```
AlC
1.0
2.875 0.000 0.000
-1.438 2.490 0.000
0.000 0.000 5.354
Al C
2 2
Cartesian
0.000 0.000 0.000
0.000 0.000 2.677
0.000 1.660 1.339
1.438 0.830 4.016
```

***

--- b ---
## AlC (GGA-PBEsol)

Data for a geometry-optimized AlC structure.

- Fermi-level density of states (states/eV/cell) = 0.9
- volume (Å³/atom) = 9.63

```
AlC
1.0
2.680 0.000 0.000
0.000 2.680 0.000
0.000 0.000 2.680
Al C
1 1
Cartesian
0.000 0.000 0.000
1.340 1.340 1.340
```

***

Stability verdict: a, ahead by 745 meV/atom

***

--- a ---
## AlC3 (GGA-PBEsol)

Data for a geometry-optimized AlC3 structure.

- Fermi-level density of states (states/eV/cell) = 1.4
- volume (Å³/atom) = 10.31

```
AlC3
1.0
4.171 0.000 0.000
-2.085 3.612 0.000
0.000 0.000 5.477
Al C
2 6
Cartesian
0.000 2.408 1.369
2.085 1.204 4.108
0.000 0.837 4.108
-1.360 3.193 4.108
0.725 0.418 1.369
1.360 3.193 4.108
3.446 0.418 1.369
2.085 2.775 1.369
```

***

--- b ---
## AlC3 (GGA-PBEsol)

Data for a geometry-optimized AlC3 structure.

- Fermi-level density of states (states/eV/cell) = 1.6
- volume (Å³/atom) = 8.38

```
AlC3
1.0
-1.351 1.351 4.587
1.351 -1.351 4.587
1.351 1.351 -4.587
Al C
1 3
Cartesian
0.000 0.000 0.000
1.351 0.000 2.294
0.000 0.000 4.587
0.000 1.351 2.294
```

***

Stability verdict: a, ahead by 668 meV/atom

***

--- a ---
## Al5C3N (GGA-PBEsol)

Data for a geometry-optimized Al5C3N structure.

- volume (Å³/atom) = 11.32

```
Al5C3N
1.0
3.292 0.000 0.000
-1.646 2.851 0.000
0.000 0.000 21.711
Al C N
10 6 2
Cartesian
0.000 0.000 0.000
0.000 0.000 4.090
0.000 0.000 10.856
0.000 0.000 14.946
0.000 1.901 1.842
0.000 1.901 6.574
0.000 1.901 19.424
1.646 0.950 8.569
1.646 0.950 12.698
1.646 0.950 17.430
0.000 0.000 2.138
0.000 0.000 7.500
0.000 0.000 12.994
0.000 0.000 18.356
0.000 1.901 21.318
1.646 0.950 10.462
0.000 1.901 4.726
1.646 0.950 15.581
```

***

--- b ---
## Al5C3N (GGA-PBEsol)

Data for a geometry-optimized Al5C3N structure.

- volume (Å³/atom) = 11.12

```
Al5C3N
1.0
3.332 0.000 0.000
-1.666 2.885 0.000
0.000 0.000 20.830
Al C N
10 6 2
Cartesian
0.000 0.000 3.205
0.000 0.000 7.210
0.000 0.000 13.619
0.000 0.000 17.625
0.000 1.924 0.997
0.000 1.924 5.207
0.000 1.924 9.417
1.666 0.962 11.412
1.666 0.962 15.622
1.666 0.962 19.832
0.000 0.000 0.000
0.000 0.000 10.415
0.000 1.924 2.921
0.000 1.924 7.494
1.666 0.962 13.336
1.666 0.962 17.908
0.000 0.000 5.207
0.000 0.000 15.622
```

***

Stability verdict: b, ahead by 10 meV/atom

***

--- a ---
## Sc2AlC (GGA-PBEsol)

Data for a geometry-optimized Sc2AlC structure.

- Fermi-level density of states (states/eV/cell) = 3.9
- volume (Å³/atom) = 17.51

```
Sc2AlC
1.0
-3.344 3.344 3.132
3.344 -3.344 3.132
3.344 3.344 -3.132
Sc Al C
4 2 2
Cartesian
5.016 1.148 -0.783
1.148 1.672 0.783
-1.672 2.196 2.349
2.196 1.672 3.915
3.344 0.000 1.566
0.000 0.000 3.132
0.000 0.000 0.000
0.000 3.344 1.566
```

***

--- b ---
## Sc2AlC (GGA-PBEsol)

Data for a geometry-optimized Sc2AlC structure.

- Fermi-level density of states (states/eV/cell) = 5.6
- volume (Å³/atom) = 17.22

```
Sc2AlC
1.0
3.263 0.000 0.000
-1.631 2.826 0.000
0.000 0.000 14.946
Sc Al C
4 2 2
Cartesian
0.000 1.884 1.235
0.000 1.884 6.238
1.631 0.942 8.708
1.631 0.942 13.711
0.000 1.884 11.209
1.631 0.942 3.736
0.000 0.000 0.000
0.000 0.000 7.473
```

***

Stability verdict: b, ahead by 445 meV/atom

***

--- a ---
## CaAlCl2 (GGA-PBEsol)

Data for a geometry-optimized CaAlCl2 structure.

- Fermi-level density of states (states/eV/cell) = 2.7
- volume (Å³/atom) = 23.37

```
CaAlCl2
1.0
0.000 3.602 3.602
3.602 0.000 3.602
3.602 3.602 0.000
Ca Al Cl
1 1 2
Cartesian
0.000 0.000 0.000
1.801 1.801 1.801
3.602 3.602 3.602
5.403 5.403 5.403
```

***

--- b ---
## CaAlCl2 (GGA-PBEsol)

Data for a geometry-optimized CaAlCl2 structure.

- Fermi-level density of states (states/eV/cell) = 2.0
- volume (Å³/atom) = 22.87

```
CaAlCl2
1.0
3.400 0.000 0.000
0.000 3.400 0.000
0.000 0.000 7.913
Ca Al Cl
1 1 2
Cartesian
0.000 0.000 0.000
1.700 1.700 5.648
0.000 0.000 4.125
1.700 1.700 1.326
```

***

--- c ---
## CaAlCl2 (GGA-PBEsol)

Data for a geometry-optimized CaAlCl2 structure.

- Fermi-level density of states (states/eV/cell) = 2.1
- volume (Å³/atom) = 22.34

```
CaAlCl2
1.0
-2.376 2.376 3.957
2.376 -2.376 3.957
2.376 2.376 -3.957
Ca Al Cl
1 1 2
Cartesian
0.000 0.000 0.000
0.000 0.000 3.957
2.376 0.000 1.979
0.000 2.376 1.979
```

***

Stability verdict: b, ahead by 122 meV/atom

***

--- a ---
## Ca2AlCl (GGA-PBEsol)

Data for a geometry-optimized Ca2AlCl structure.

- Fermi-level density of states (states/eV/cell) = 2.3
- volume (Å³/atom) = 27.39

```
Ca2AlCl
1.0
4.110 0.000 0.000
0.000 4.346 0.000
0.000 0.000 6.132
Ca Al Cl
2 1 1
Cartesian
0.000 0.000 0.000
2.055 2.173 3.066
0.000 0.000 3.066
2.055 2.173 0.000
```

***

--- b ---
## Ca2AlCl (GGA-PBEsol)

Data for a geometry-optimized Ca2AlCl structure.

- Fermi-level density of states (states/eV/cell) = 1.6
- volume (Å³/atom) = 27.11

```
Ca2AlCl
1.0
3.766 0.000 0.000
0.000 3.527 0.000
-0.013 0.000 8.166
Ca Al Cl
2 1 1
Cartesian
0.001 0.000 1.884
3.752 0.000 6.282
1.883 1.764 0.000
-0.006 1.764 4.083
```

***

Stability verdict: b, ahead by 152 meV/atom

***

--- a ---
## CaAlH5 (GGA-PBEsol)

Data for a geometry-optimized CaAlH5 structure.

- Fermi-level density of states (states/eV/cell) = 0.0
- volume (Å³/atom) = 10.48

```
CaAlH5
1.0
8.517 0.000 0.000
0.000 6.267 0.000
-0.176 0.000 10.999
Ca Al H
8 8 40
Cartesian
1.481 1.562 3.327
1.393 1.571 8.827
2.442 4.695 1.108
2.354 4.706 6.608
5.987 1.561 4.391
5.899 1.573 9.891
6.948 4.696 2.172
6.860 4.705 7.672
0.977 4.697 3.781
0.889 4.704 9.281
4.046 1.567 1.852
3.958 1.567 7.351
4.383 4.700 3.648
4.295 4.701 9.147
7.452 1.564 1.718
7.364 1.570 7.218
0.559 1.564 1.349
0.471 1.569 6.849
0.893 3.584 2.430
0.805 5.817 7.930
0.808 3.592 7.928
0.896 5.809 2.428
1.395 3.433 10.345
1.483 5.968 4.845
1.487 3.431 4.848
1.399 5.970 10.347
2.732 4.697 3.226
2.644 4.704 8.725
2.869 0.396 1.855
2.774 0.404 7.370
2.862 2.730 1.870
2.781 2.737 7.355
3.839 1.555 3.604
3.751 1.579 9.103
3.941 4.685 10.742
4.029 4.716 5.243
4.311 1.552 5.756
4.399 1.582 0.257
4.589 4.689 1.896
4.501 4.712 7.395
5.560 3.530 3.644
5.479 3.537 9.129
5.567 5.864 3.629
5.472 5.871 9.144
5.697 1.563 2.274
5.609 1.571 7.773
6.942 0.297 0.652
6.854 2.837 6.151
6.857 0.300 6.154
6.945 2.834 0.654
7.445 0.458 8.571
7.533 2.676 3.071
7.535 0.450 3.069
7.447 2.684 8.569
7.870 4.698 4.150
7.782 4.703 9.650
```

***

--- b ---
## CaAlH5 (GGA-PBEsol)

Data for a geometry-optimized CaAlH5 structure.

- Fermi-level density of states (states/eV/cell) = 0.0
- volume (Å³/atom) = 8.70

```
CaAlH5
1.0
4.205 0.000 0.000
0.000 4.852 0.000
0.000 0.000 11.942
Ca Al H
4 4 20
Cartesian
0.853 0.664 4.045
1.249 4.188 10.016
2.956 1.762 7.897
3.351 3.090 1.926
0.798 0.587 1.012
1.304 4.265 6.983
2.900 1.839 10.930
3.407 3.013 4.959
0.039 1.892 0.084
0.056 4.243 0.072
0.583 3.048 3.892
0.710 0.588 8.082
0.746 2.980 7.974
1.356 1.872 2.003
1.393 4.264 2.110
1.520 1.804 9.863
2.047 0.609 6.043
2.064 2.960 6.055
2.141 0.534 11.858
2.158 3.035 11.870
2.685 4.230 8.050
2.812 1.838 3.861
2.848 4.298 3.968
3.459 0.554 9.939
3.495 3.014 9.832
3.622 0.622 2.079
4.149 1.817 5.899
4.166 4.318 5.887
```

***

Stability verdict: b, ahead by 74 meV/atom

***

--- a ---
## CaAlTe2I (GGA-PBEsol)

Data for a geometry-optimized CaAlTe2I structure.

- Fermi-level density of states (states/eV/cell) = 1.6
- volume (Å³/atom) = 31.54

```
CaAlTe2I
1.0
5.361 0.000 0.000
0.000 5.361 0.000
0.000 0.000 5.487
Ca Al Te I
1 1 2 1
Cartesian
0.000 0.000 0.000
2.681 2.681 2.744
0.000 2.681 2.744
2.681 0.000 2.744
2.681 2.681 0.000
```

***

--- b ---
## CaAlTe2I (GGA-PBEsol)

Data for a geometry-optimized CaAlTe2I structure.

- Fermi-level density of states (states/eV/cell) = 5.4
- volume (Å³/atom) = 39.34

```
CaAlTe2I
1.0
5.758 0.000 0.000
0.000 5.758 0.000
0.000 0.000 5.934
Ca Al Te I
1 1 2 1
Cartesian
0.000 0.000 0.000
2.879 2.879 2.967
0.000 2.879 0.000
2.879 0.000 0.000
0.000 0.000 2.967
```

***

Stability verdict: a, ahead by 507 meV/atom

***

--- a ---
## CaAlMo (GGA-PBEsol)

Data for a geometry-optimized CaAlMo structure.

- Fermi-level density of states (states/eV/cell) = 2.9
- volume (Å³/atom) = 23.28

```
CaAlMo
1.0
0.000 3.269 3.269
3.269 0.000 3.269
3.269 3.269 0.000
Ca Al Mo
1 1 1
Cartesian
0.000 0.000 0.000
1.634 1.634 1.634
3.269 3.269 3.269
```

***

--- b ---
## CaAlMo (GGA-PBEsol)

Data for a geometry-optimized CaAlMo structure.

- Fermi-level density of states (states/eV/cell) = 3.0
- volume (Å³/atom) = 18.57

```
CaAlMo
1.0
4.771 0.000 0.000
-2.385 4.132 0.000
0.000 0.000 2.827
Ca Al Mo
1 1 1
Cartesian
0.000 0.000 0.000
0.000 2.754 1.616
2.385 1.377 0.976
```

***

Stability verdict: b, ahead by 469 meV/atom

***

--- a ---
## CaAl2Mo (GGA-PBEsol)

Data for a geometry-optimized CaAl2Mo structure.

- Fermi-level density of states (states/eV/cell) = 3.0
- volume (Å³/atom) = 19.23

```
CaAl2Mo
1.0
2.889 0.000 0.000
0.000 3.665 0.000
0.000 0.000 7.265
Ca Al Mo
1 2 1
Cartesian
0.000 0.000 0.000
0.000 0.000 3.469
1.444 1.833 4.968
1.444 1.833 2.234
```

***

--- b ---
## CaAl2Mo (GGA-PBEsol)

Data for a geometry-optimized CaAl2Mo structure.

- Fermi-level density of states (states/eV/cell) = 3.2
- volume (Å³/atom) = 18.47

```
CaAl2Mo
1.0
1.493 0.862 9.568
-1.493 0.862 9.568
0.000 -1.724 9.568
Ca Al Mo
1 2 1
Cartesian
0.000 0.000 0.000
0.000 0.000 14.477
0.000 0.000 21.819
0.000 0.000 7.010
```

***

Stability verdict: a, ahead by 184 meV/atom